Arrangement w

Density functional theory data (PBE-GGA) for an optimized crystal structure of Li5Mg3Cd3.

Lattice parameters (Å, degrees): 9.7888 9.7888 3.0379 90.00 90.00 120.00
Last column: nearest neighbours and their distance in Å.
Fractional positions:
Li  0.0000  0.6626  0.0000  2 Cd 2.77, 2 Mg 2.86, 2 Li 3.04
Li  0.3333  0.6667  0.0000  5 Li 3.04-3.24, 6 Cd 3.29
Li  0.3374  0.3374  0.0000  2 Cd 2.77, 2 Mg 2.86, 2 Li 3.04
Li  0.6626  0.0000  0.0000  2 Cd 2.77, 2 Mg 2.86, 2 Li 3.04
Li  0.6667  0.3333  0.0000  5 Li 3.04-3.24, 6 Cd 3.29
Mg  0.0000  0.1752  0.0000  2 Li 2.86, 2 Cd 2.89, 4 Mg 2.97-3.04
Mg  0.1752  0.0000  0.0000  2 Li 2.86, 2 Cd 2.89, 4 Mg 2.97-3.04
Mg  0.8248  0.8248  0.0000  2 Li 2.86, 2 Cd 2.89, 4 Mg 2.97-3.04
Cd  0.0000  0.4265  0.5000  2 Li 2.77, 2 Mg 2.89, 2 Cd 3.04
Cd  0.4265  0.0000  0.5000  2 Li 2.77, 2 Mg 2.89, 2 Cd 3.04
Cd  0.5735  0.5735  0.5000  2 Li 2.77, 2 Mg 2.89, 2 Cd 3.04

Properties
* size of the total moment: 0.00 Bohr magnetons per cell



Arrangement x

Density functional theory data (PBE-GGA) for an optimized crystal structure of Li5Mg3Cd3.

Lattice parameters (Å, degrees): 9.6080 9.6080 3.0287 90.00 90.00 120.00
Last column: nearest neighbours and their distance in Å.
Fractional positions:
Li  0.0000  0.8406  0.0000  2 Li 2.65, 2 Cd 2.74, 2 Mg 2.83
Li  0.1594  0.1594  0.0000  2 Li 2.65, 2 Cd 2.74, 2 Mg 2.83
Li  0.3333  0.6667  0.0000  2 Li 3.03, 3 Cd 3.22, 6 Mg 3.28
Li  0.6667  0.3333  0.0000  2 Li 3.03, 3 Cd 3.22, 6 Mg 3.28
Li  0.8406  0.0000  0.0000  2 Li 2.65, 2 Cd 2.74, 2 Mg 2.83
Mg  0.0000  0.5922  0.5000  2 Li 2.83, 2 Cd 2.95, 2 Mg 3.03
Mg  0.4078  0.4078  0.5000  2 Li 2.83, 2 Cd 2.95, 2 Mg 3.03
Mg  0.5922  0.0000  0.5000  2 Li 2.83, 2 Cd 2.95, 2 Mg 3.03
Cd  0.0000  0.3291  0.0000  2 Li 2.74, 2 Mg 2.95, 2 Cd 3.03
Cd  0.3291  0.0000  0.0000  2 Li 2.74, 2 Mg 2.95, 2 Cd 3.03
Cd  0.6709  0.6709  0.0000  2 Li 2.74, 2 Mg 2.95, 2 Cd 3.03

Properties
* size of the total moment: 0.00 Bohr magnetons per cell



Stability comparison, relative energies in meV per atom: arrangement w 0; arrangement x 20